# BiP2AuO (GGA-PBE, relaxed)
data_BiP2AuO
_chemical_formula_sum 'Bi1 P2 Au1 O1'
_cell_length_a 4.954
_cell_length_b 4.954
_cell_length_c 4.004
_cell_angle_alpha 90.00
_cell_angle_beta 90.00
_cell_angle_gamma 90.00
_symmetry_space_group_name_H-M 'P 4/m m m'
_symmetry_Int_Tables_number 123
_symmetry_space_group_name_Hall '-P 4 2'
loop_
_atom_site_label
_atom_site_fract_x
_atom_site_fract_y
_atom_site_fract_z
Bi1 0.000 0.000 0.000
P1 0.000 0.500 0.500
Au1 0.500 0.500 0.500
O1 0.500 0.500 0.000
# N(E_F)	3.8	states/eV/f.u.
# electronic total energy	-4.029	eV/atom
# relative energy among the computed polymorphs	0.00	eV/f.u.
# E_form (uncorrected)	53.8	kJ per mole of atoms

***

# PaBiAu2O8 (GGA-PBE, relaxed)
data_PaBiAu2O8
_chemical_formula_sum 'Pa2 Bi2 Au4 O16'
_cell_length_a 7.036
_cell_length_b 7.036
_cell_length_c 7.292
_cell_angle_alpha 90.00
_cell_angle_beta 90.00
_cell_angle_gamma 90.00
_symmetry_space_group_name_H-M 'I -4 m 2'
_symmetry_Int_Tables_number 119
_symmetry_space_group_name_Hall 'I -4 -2'
loop_
_atom_site_label
_atom_site_fract_x
_atom_site_fract_y
_atom_site_fract_z
Pa1 0.000 0.000 0.000
Bi1 0.000 0.500 0.750
Au1 0.000 0.000 0.500
Au2 0.000 0.500 0.250
O1 0.000 0.175 0.724
O2 0.000 0.317 0.023
# N(E_F)	12.1	states/eV/f.u.
# electronic total energy	-5.954	eV/atom
# E_form (uncorrected)	-95.3	kJ per mole of atoms